(1)
Density functional theory data (PBE) for crystalline KTi3Co at its relaxed geometry.

Computed properties:
SG = Pm-3m
total moment = 0.0 μB/f.u.
ΔH_f (0 K) = 3.22 eV/f.u.

Unit cell a=4.720 b=4.720 c=4.720 alpha=90.00 beta=90.00 gamma=90.00
Fractional coordinates of all 5 atoms:
K: 0.500 0.500 0.500
Ti: 0.000 0.500 0.000
Ti: 0.000 0.000 0.500
Ti: 0.500 0.000 0.000
Co: 0.000 0.000 0.000

---

(2)
Density functional theory data (PBE) for crystalline KTiCo3 at its relaxed geometry.

Computed properties:
SG = Pm-3m
total moment = 2.0 μB/f.u.
ΔH_f (0 K) = 11.11 eV/f.u.

Unit cell a=4.373 b=4.373 c=4.373 alpha=90.00 beta=90.00 gamma=90.00
Last column: magnetic moment on the atom in μB.
Fractional coordinates of all 5 atoms:
K: 0.000 0.000 0.000  -0.02
Ti: 0.500 0.500 0.500  -1.01
Co: 0.500 0.000 0.000  1.42
Co: 0.000 0.500 0.000  1.12
Co: 0.000 0.000 0.500  0.94